# 1
Material: TiNi14Ge
Method: DFT, PBE
State: relaxed

a = 5.0374 Å, b = 5.0374 Å, c = 7.0850 Å
α = 90.00°, β = 90.00°, γ = 90.00°
Site moments in Bohr magnetons follow the coordinates.
Atoms (fractional coordinates):
Ti (0.8750, 0.8750, 0.5000)  -0.15
Ni (0.8750, 0.8750, 0.0000)  0.62
Ni (0.3750, 0.8750, 0.0000)  0.51
Ni (0.6244, 0.1256, 0.2455)  0.34
Ni (0.8750, 0.3750, 0.5000)  0.19
Ni (0.1256, 0.1256, 0.2456)  0.34
Ni (0.1256, 0.6244, 0.7545)  0.34
Ni (0.1256, 0.1256, 0.7544)  0.34
Ni (0.3750, 0.3750, 0.0000)  0.54
Ni (0.6244, 0.6244, 0.7545)  0.34
Ni (0.6244, 0.1256, 0.7545)  0.34
Ni (0.1256, 0.6244, 0.2455)  0.34
Ni (0.8750, 0.3750, 0.0000)  0.51
Ni (0.6244, 0.6244, 0.2455)  0.34
Ni (0.3750, 0.8750, 0.5000)  0.19
Ge (0.3750, 0.3750, 0.5000)  -0.02

=====

# 2
Material: TiNi2Ge
Method: DFT, PBE
State: relaxed

a = 3.9537 Å, b = 2.7676 Å, c = 4.9926 Å
α = 93.56°, β = 90.00°, γ = 90.00°
Site moments in Bohr magnetons follow the coordinates.
Atoms (fractional coordinates):
Ti (0.5000, 0.5000, 0.0000)  0.15
Ge (0.5000, 0.0000, 0.5000)  0.00
Ni (0.0000, 0.9659, 0.7610)  0.02
Ni (0.0000, 0.0341, 0.2390)  0.02

=====

# 3
Material: Ti5Ni12Ge2
Method: DFT, PBE
State: relaxed

a = 6.5522 Å, b = 7.0087 Å, c = 5.9938 Å
α = 89.90°, β = 90.00°, γ = 117.87°
Atoms (fractional coordinates):
Ti (0.7554, 0.5108, 0.4376)
Ge (0.2768, 0.0000, 0.0000)
Ni (0.1855, 0.7669, 0.3470)
Ti (0.2446, 0.4892, 0.5624)
Ti (0.3030, 0.6059, 0.0338)
Ni (0.6536, 0.6828, 0.7450)
Ti (0.6970, 0.3941, 0.9662)
Ni (0.8846, 0.7693, 0.0965)
Ni (0.4186, 0.2331, 0.6530)
Ni (0.9708, 0.3172, 0.2550)
Ni (0.1154, 0.2307, 0.9035)
Ti (0.0000, 0.0000, 0.5000)
Ge (0.7232, 0.0000, 0.0000)
Ni (0.5814, 0.7669, 0.3470)
Ni (0.5552, 0.1105, 0.3136)
Ni (0.3464, 0.3172, 0.2550)
Ni (0.8145, 0.2331, 0.6530)
Ni (0.0292, 0.6828, 0.7450)
Ni (0.4448, 0.8895, 0.6864)

=====

# 4
Material: TiNi2Ge
Method: DFT, PBE
State: relaxed

a = 3.6972 Å, b = 3.6972 Å, c = 8.7056 Å
α = 77.74°, β = 77.74°, γ = 90.00°
Atoms (fractional coordinates):
Ge (0.0000, 0.0000, 0.0000)
Ni (0.8750, 0.8887, 0.7500)
Ti (0.5000, 0.5000, 0.0000)
Ni (0.6387, 0.1250, 0.2500)
Ge (0.7500, 0.2500, 0.5000)
Ni (0.3750, 0.3613, 0.7500)
Ti (0.2500, 0.7500, 0.5000)
Ni (0.1113, 0.6250, 0.2500)

=====

# 5
Material: TiNi3Ge
Method: DFT, PBE
State: relaxed

a = 4.4835 Å, b = 4.4835 Å, c = 8.6270 Å
α = 105.06°, β = 105.06°, γ = 90.00°
Atoms (fractional coordinates):
Ni (0.1307, 0.8762, 0.7524)
Ni (0.1238, 0.8693, 0.2476)
Ni (0.6894, 0.6894, 0.3787)
Ge (0.0000, 0.0000, 0.0000)
Ti (0.6080, 0.1080, 0.2160)
Ge (0.2500, 0.7500, 0.5000)
Ni (0.1238, 0.3784, 0.2476)
Ni (0.6216, 0.8762, 0.7524)
Ni (0.3106, 0.3106, 0.6213)
Ti (0.8920, 0.3920, 0.7840)

**Energy relative to the lowest polymorph listed for this composition**: 0 meV per atom

=====

# 6
Material: TiNi2Ge
Method: DFT, PBE
State: relaxed

a = 3.6443 Å, b = 3.7774 Å, c = 3.7774 Å
α = 90.00°, β = 90.00°, γ = 90.00°
Atoms (fractional coordinates):
Ge (0.5000, 0.0000, 0.0000)
Ni (0.0000, 0.5000, 0.0000)
Ni (0.0000, 0.0000, 0.5000)
Ti (0.5000, 0.5000, 0.5000)

=====

# 7
Material: Ti2Ni4Ge
Method: DFT, PBE
State: relaxed

a = 4.2319 Å, b = 4.2319 Å, c = 6.9134 Å
α = 72.18°, β = 72.18°, γ = 90.00°
Atoms (fractional coordinates):
Ge (0.0000, 0.0000, 0.0000)
Ni (0.0000, 0.5000, 0.0000)
Ti (0.6340, 0.6340, 0.7319)
Ni (0.1881, 0.1881, 0.6239)
Ni (0.8119, 0.8119, 0.3761)
Ti (0.3660, 0.3660, 0.2681)
Ni (0.5000, 0.0000, 0.0000)

=====

# 8
Material: Ti2Ni9Ge
Method: DFT, PBE
State: relaxed

a = 3.6008 Å, b = 3.6008 Å, c = 10.7732 Å
α = 90.00°, β = 90.00°, γ = 90.00°
Atoms (fractional coordinates):
Ni (0.5000, 0.5000, 0.3319)
Ni (0.0000, 0.5000, 0.8345)
Ge (0.0000, 0.0000, 0.0000)
Ni (0.5000, 0.5000, 0.6681)
Ni (0.5000, 0.0000, 0.1655)
Ni (0.0000, 0.5000, 0.1655)
Ni (0.0000, 0.5000, 0.5000)
Ni (0.5000, 0.5000, 0.0000)
Ni (0.5000, 0.0000, 0.8345)
Ti (0.0000, 0.0000, 0.3324)
Ti (0.0000, 0.0000, 0.6676)
Ni (0.5000, 0.0000, 0.5000)

=====

# 9
Material: Ti12NiGe6
Method: DFT, PBE
State: relaxed

a = 7.2053 Å, b = 7.2053 Å, c = 7.2053 Å
α = 100.74°, β = 100.74°, γ = 100.74°
Atoms (fractional coordinates):
Ge (0.1257, 0.6420, 0.3221)
Ti (0.9507, 0.0223, 0.6757)
Ge (0.6420, 0.3221, 0.1257)
Ge (0.8743, 0.3580, 0.6779)
Ti (0.9777, 0.3243, 0.0493)
Ti (0.0493, 0.9777, 0.3243)
Ti (0.3243, 0.0493, 0.9777)
Ti (0.4543, 0.8106, 0.5904)
Ge (0.3221, 0.1257, 0.6420)
Ti (0.5457, 0.1894, 0.4096)
Ti (0.4096, 0.5457, 0.1894)
Ti (0.8106, 0.5904, 0.4543)
Ti (0.5904, 0.4543, 0.8106)
Ge (0.6779, 0.8743, 0.3580)
Ti (0.0223, 0.6757, 0.9507)
Ti (0.1894, 0.4096, 0.5457)
Ti (0.6757, 0.9507, 0.0223)
Ge (0.3580, 0.6779, 0.8743)
Ni (0.0000, 0.0000, 0.0000)

=====

# 10
Material: TiNi3Ge
Method: DFT, PBE
State: relaxed

a = 4.2844 Å, b = 4.2844 Å, c = 4.2844 Å
α = 90.00°, β = 90.00°, γ = 90.00°
Site moments in Bohr magnetons follow the coordinates.
Atoms (fractional coordinates):
Ni (0.0000, 0.0000, 0.5000)  -0.01
Ni (0.0000, 0.5000, 0.0000)  -0.06
Ti (0.5000, 0.5000, 0.5000)  -0.85
Ge (0.0000, 0.0000, 0.0000)  0.02
Ni (0.5000, 0.0000, 0.0000)  -0.04

**Energy relative to the lowest polymorph listed for this composition**: 317 meV per atom

=====

# 11
Material: Ti3NiGe2
Method: DFT, PBE
State: relaxed

a = 3.8198 Å, b = 9.4753 Å, c = 10.2787 Å
α = 90.00°, β = 90.00°, γ = 90.00°
Atoms (fractional coordinates):
Ni (0.7500, 0.6504, 0.3494)
Ti (0.7500, 0.5803, 0.6276)
Ge (0.2500, 0.9660, 0.3074)
Ti (0.2500, 0.0803, 0.8724)
Ge (0.7500, 0.3169, 0.5205)
Ge (0.2500, 0.8169, 0.9795)
Ni (0.2500, 0.1504, 0.1506)
Ni (0.7500, 0.8496, 0.8494)
Ge (0.7500, 0.1831, 0.0205)
Ge (0.2500, 0.6831, 0.4795)
Ge (0.7500, 0.4660, 0.1926)
Ge (0.2500, 0.5340, 0.8074)
Ti (0.7500, 0.6156, 0.9689)
Ti (0.2500, 0.4197, 0.3724)
Ti (0.2500, 0.1156, 0.5311)
Ni (0.2500, 0.3496, 0.6506)
Ti (0.7500, 0.8844, 0.4689)
Ti (0.7500, 0.1737, 0.3009)
Ti (0.2500, 0.8263, 0.6991)
Ge (0.7500, 0.0340, 0.6926)
Ti (0.2500, 0.3844, 0.0311)
Ti (0.2500, 0.6737, 0.1991)
Ti (0.7500, 0.9197, 0.1276)
Ti (0.7500, 0.3263, 0.8009)

=====

# 12
Material: TiNi4Ge
Method: DFT, PBE
State: relaxed

a = 4.7192 Å, b = 4.7192 Å, c = 4.7192 Å
α = 60.00°, β = 60.00°, γ = 60.00°
Atoms (fractional coordinates):
Ti (0.2500, 0.2500, 0.2500)
Ni (0.6247, 0.6247, 0.6247)
Ni (0.1260, 0.6247, 0.6247)
Ni (0.6247, 0.6247, 0.1260)
Ni (0.6247, 0.1260, 0.6247)
Ge (0.0000, 0.0000, 0.0000)

**Energy relative to the lowest polymorph listed for this composition**: 122 meV per atom

=====

# 13
Material: TiNi2Ge2
Method: DFT, PBE
State: relaxed

a = 7.0599 Å, b = 7.0599 Å, c = 2.7475 Å
α = 90.00°, β = 90.00°, γ = 90.00°
Atoms (fractional coordinates):
Ni (0.1433, 0.6433, 0.5000)
Ti (0.0000, 0.0000, 0.0000)
Ni (0.3567, 0.1433, 0.5000)
Ge (0.1524, 0.3476, 0.0000)
Ni (0.6433, 0.8567, 0.5000)
Ti (0.5000, 0.5000, 0.0000)
Ge (0.8476, 0.6524, 0.0000)
Ni (0.8567, 0.3567, 0.5000)
Ge (0.6524, 0.1524, 0.0000)
Ge (0.3476, 0.8476, 0.0000)

=====

# 14
Material: TiNi3Ge
Method: DFT, PBE
State: relaxed

a = 4.3769 Å, b = 4.3769 Å, c = 4.3769 Å
α = 90.00°, β = 90.00°, γ = 90.00°
Atoms (fractional coordinates):
Ni (0.5000, 0.0000, 0.0000)
Ni (0.0000, 0.0000, 0.5000)
Ti (0.0000, 0.0000, 0.0000)
Ni (0.0000, 0.5000, 0.0000)
Ge (0.5000, 0.5000, 0.5000)

**Energy relative to the lowest polymorph listed for this composition**: 786 meV per atom

=====

# 15
Material: TiNi15Ge4
Method: DFT, PBE
State: relaxed

a = 3.5881 Å, b = 3.5881 Å, c = 17.8593 Å
α = 90.00°, β = 90.00°, γ = 90.00°
Atoms (fractional coordinates):
Ni (0.5000, 0.5000, 0.4000)
Ni (0.5000, 0.0000, 0.6997)
Ni (0.5000, 0.0000, 0.8992)
Ni (0.5000, 0.0000, 0.1008)
Ni (0.5000, 0.5000, 0.7990)
Ge (0.0000, 0.0000, 0.4004)
Ni (0.0000, 0.5000, 0.6997)
Ge (0.0000, 0.0000, 0.2009)
Ni (0.5000, 0.5000, 0.6000)
Ni (0.0000, 0.5000, 0.8992)
Ge (0.0000, 0.0000, 0.5996)
Ni (0.0000, 0.5000, 0.5000)
Ti (0.0000, 0.0000, 0.0000)
Ni (0.5000, 0.5000, 0.0000)
Ni (0.5000, 0.0000, 0.3003)
Ni (0.5000, 0.0000, 0.5000)
Ni (0.0000, 0.5000, 0.3003)
Ni (0.0000, 0.5000, 0.1008)
Ni (0.5000, 0.5000, 0.2010)
Ge (0.0000, 0.0000, 0.7991)

=====

# 16
Material: TiNi4Ge
Method: DFT, PBE
State: relaxed

a = 4.5119 Å, b = 5.8751 Å, c = 7.6220 Å
α = 79.03°, β = 92.46°, γ = 132.81°
Atoms (fractional coordinates):
Ge (0.5000, 0.5000, 0.0000)
Ti (0.7500, 0.0000, 0.7500)
Ni (0.2522, 0.9998, 0.5826)
Ti (0.2500, 0.0000, 0.2500)
Ni (0.0002, 0.5002, 0.1665)
Ni (0.9998, 0.4998, 0.8335)
Ni (0.7478, 0.0002, 0.4174)
Ni (0.7522, 0.9998, 0.0826)
Ge (0.0000, 0.5000, 0.5000)
Ni (0.5002, 0.5002, 0.6665)
Ni (0.4998, 0.4998, 0.3335)
Ni (0.2478, 0.0002, 0.9174)

**Energy relative to the lowest polymorph listed for this composition**: 0 meV per atom

=====

# 17
Material: TiNi8Ge2
Method: DFT, PBE
State: relaxed

a = 4.1647 Å, b = 6.5745 Å, c = 6.3424 Å
α = 58.78°, β = 78.22°, γ = 66.79°
Atoms (fractional coordinates):
Ni (0.1149, 0.9124, 0.7731)
Ni (0.1149, 0.6855, 0.2269)
Ni (0.6854, 0.6001, 0.0000)
Ge (0.0000, 0.3099, 0.3801)
Ni (0.8851, 0.3145, 0.7731)
Ni (0.3146, 0.3999, 0.0000)
Ni (0.5000, 0.7785, 0.4430)
Ni (0.8851, 0.0876, 0.2269)
Ti (0.5000, 0.0000, 0.0000)
Ge (0.0000, 0.6901, 0.6199)
Ni (0.5000, 0.2215, 0.5570)

=====

# 18
Material: TiNi9Ge2
Method: DFT, PBE
State: relaxed

a = 3.5934 Å, b = 3.5934 Å, c = 10.7216 Å
α = 90.00°, β = 90.00°, γ = 90.00°
Atoms (fractional coordinates):
Ni (0.5000, 0.5000, 0.3351)
Ni (0.0000, 0.5000, 0.5000)
Ni (0.5000, 0.0000, 0.8320)
Ge (0.0000, 0.0000, 0.3341)
Ge (0.0000, 0.0000, 0.6659)
Ti (0.0000, 0.0000, 0.0000)
Ni (0.5000, 0.5000, 0.6649)
Ni (0.5000, 0.0000, 0.5000)
Ni (0.5000, 0.0000, 0.1680)
Ni (0.0000, 0.5000, 0.8320)
Ni (0.0000, 0.5000, 0.1680)
Ni (0.5000, 0.5000, 0.0000)

=====

# 19
Material: Ti4Ni2Ge5
Method: DFT, PBE
State: relaxed

a = 5.1422 Å, b = 7.8671 Å, c = 9.3940 Å
α = 114.75°, β = 105.88°, γ = 90.00°
Atoms (fractional coordinates):
Ni (0.4527, 0.7027, 0.4054)
Ti (0.8589, 0.7618, 0.7178)
Ge (0.2500, 0.0000, 0.0000)
Ti (0.1411, 0.2382, 0.2822)
Ge (0.7500, 0.0000, 0.0000)
Ge (0.0847, 0.4856, 0.1695)
Ge (0.7853, 0.9921, 0.5706)
Ti (0.9403, 0.2127, 0.8806)
Ge (0.5847, 0.6839, 0.1695)
Ti (0.6411, 0.0440, 0.2822)
Ni (0.0473, 0.2973, 0.5946)
Ti (0.0597, 0.7873, 0.1194)
Ge (0.2147, 0.0079, 0.4294)
Ge (0.9153, 0.5144, 0.8305)
Ti (0.4403, 0.6679, 0.8806)
Ge (0.7147, 0.4215, 0.4294)
Ti (0.3589, 0.9560, 0.7178)
Ti (0.5597, 0.3321, 0.1194)
Ni (0.5473, 0.2973, 0.5946)
Ge (0.2853, 0.5785, 0.5706)
Ni (0.9527, 0.7027, 0.4054)
Ge (0.4153, 0.3161, 0.8305)

=====

# 20
Material: Tm2TiNi4Ge3
Method: DFT, PBE
State: relaxed

a = 3.9476 Å, b = 3.9476 Å, c = 10.2837 Å
α = 90.00°, β = 90.00°, γ = 90.00°
Atoms (fractional coordinates):
Ni (0.0000, 0.0000, 0.0000)
Tm (0.0000, 0.5000, 0.7637)
Ni (0.5000, 0.5000, 0.0000)
Tm (0.5000, 0.0000, 0.2363)
Ni (0.0000, 0.5000, 0.3583)
Ge (0.5000, 0.0000, 0.8688)
Ti (0.5000, 0.5000, 0.5000)
Ge (0.0000, 0.0000, 0.5000)
Ni (0.5000, 0.0000, 0.6417)
Ge (0.0000, 0.5000, 0.1312)

=====

In the order shown, the computed calculated formation energy values come out to -151 -325 -334 -135 104 -409 416 -416 -162 421 -572 -247 -292 890 -327 -369 -176 -352 -509 -662 meV per atom.